Entry 1:
Compound: Pm6Nd4Sm
Source: the Alexandria database
Functional: PBE-GGA
Structure: relaxed

Lattice parameters (Å, degrees): 9.8578 9.8578 9.8578 57.94 139.94 139.94
Last column: nearest neighbours and their distance in Å.
Positions (direct):
1 Pm 0.0000 0.8020 0.4487  3 Pm 3.30-3.37, 5 Nd 3.41-3.69
2 Pm 0.0000 0.4487 0.8020  3 Pm 3.30-3.37, 5 Nd 3.41-3.69
3 Pm 0.3534 0.5513 0.5513  3 Pm 3.30-3.37, 5 Nd 3.41-3.69
4 Pm 0.5000 0.5000 0.0000  4 Pm 3.30, 2 Sm 3.38
5 Pm 0.6466 0.1980 0.1980  3 Pm 3.30-3.37, 5 Nd 3.41-3.69
6 Pm 0.5000 0.0000 0.5000  4 Pm 3.30, 2 Sm 3.38
7 Nd 0.0000 0.6332 0.0127  5 Pm 3.41-3.69, 1 Sm 3.55, 1 Nd 3.62
8 Nd 0.3795 0.3668 0.3668  5 Pm 3.41-3.69, 1 Sm 3.55, 1 Nd 3.62
9 Nd 0.0000 0.0127 0.6332  5 Pm 3.41-3.69, 1 Sm 3.55, 1 Nd 3.62
10 Nd 0.6205 0.9873 0.9873  5 Pm 3.41-3.69, 1 Sm 3.55, 1 Nd 3.62
11 Sm 0.0000 0.0000 0.0000  8 Pm 3.38-3.77, 4 Nd 3.55

Calculated values
Mass density ... 6.745 g/cm3
Polymorph energy (0 for the lowest one) ... 0.0 kJ/mol of formula units
E_form ... 0.28 eV per atom
Symmetry ... I-42m, No. 121

---

Entry 2:
Compound: Pm2NdSm8
Source: the Alexandria database
Functional: PBE-GGA
Structure: relaxed

Lattice parameters (Å, degrees): 6.7753 10.4302 10.4302 37.99 59.31 59.31
Last column: nearest neighbours and their distance in Å.
Positions (direct):
1 Pm 0.6012 0.7979 0.7979  7 Sm 3.39-3.72
2 Pm 0.3988 0.2021 0.2021  7 Sm 3.39-3.72
3 Nd 0.0000 0.0000 0.0000  8 Sm 3.42-3.81
4 Sm 0.2306 0.3522 0.8259  5 Sm 3.22-3.57, 1 Nd 3.42, 1 Pm 3.49
5 Sm 0.7694 0.1741 0.6478  5 Sm 3.22-3.57, 1 Nd 3.42, 1 Pm 3.49
6 Sm 0.1780 0.7557 0.7557  5 Sm 3.33-3.50, 4 Pm 3.39-3.63
7 Sm 0.8220 0.2443 0.2443  5 Sm 3.33-3.50, 4 Pm 3.39-3.63
8 Sm 0.2306 0.8259 0.3522  5 Sm 3.22-3.57, 1 Nd 3.42, 1 Pm 3.49
9 Sm 0.7694 0.6478 0.1741  5 Sm 3.22-3.57, 1 Nd 3.42, 1 Pm 3.49
10 Sm 0.7303 0.5892 0.5892  8 Sm 3.39-3.75, 1 Pm 3.72
11 Sm 0.2697 0.4108 0.4108  8 Sm 3.39-3.75, 1 Pm 3.72

Calculated values
Mass density ... 7.119 g/cm3
Polymorph energy (0 for the lowest one) ... 150.6 kJ/mol of formula units
E_form ... 0.16 eV per atom
Symmetry ... C2/m, No. 12